A plane-wave DFT calculation with SCAN was carried out for a PBEsol-optimized structure of LiLa2Mg.

```
data_LiLa2Mg
_chemical_formula_sum 'Li1 La2 Mg1'
_symmetry_space_group_name_H-M 'P 4/m m m'
_symmetry_Int_Tables_number 123
_symmetry_space_group_name_Hall '-P 4 2'
_cell_length_a 3.957
_cell_length_b 3.957
_cell_length_c 7.464
_cell_angle_alpha 90.00
_cell_angle_beta 90.00
_cell_angle_gamma 90.00
loop_
_atom_site_label
_atom_site_type_symbol
_atom_site_fract_x
_atom_site_fract_y
_atom_site_fract_z
_atom_site_occupancy
Li1 Li 0.000 0.000 0.000 1
La1 La 0.500 0.500 0.252 1
Mg1 Mg 0.000 0.000 0.500 1
```

Summary:
**ΔE_f**: -0.015 eV/atom
**Magnetization**: 0.2 μB/cell
**Final energy**: -23.409 eV/atom
**Relative energy among the computed polymorphs**: 0.0000 eV/atom

***

A plane-wave DFT calculation with SCAN was carried out for a PBEsol-optimized structure of Re2MoCl.

```
data_Re2MoCl
_chemical_formula_sum 'Re8 Mo4 Cl4'
_symmetry_space_group_name_H-M 'F m -3 m'
_symmetry_Int_Tables_number 225
_symmetry_space_group_name_Hall '-F 4 2 3'
_cell_length_a 6.207
_cell_length_b 6.207
_cell_length_c 6.207
_cell_angle_alpha 90.00
_cell_angle_beta 90.00
_cell_angle_gamma 90.00
loop_
_atom_site_label
_atom_site_type_symbol
_atom_site_fract_x
_atom_site_fract_y
_atom_site_fract_z
_atom_site_occupancy
Re1 Re 0.250 0.250 0.250 1
Mo1 Mo 0.000 0.000 0.000 1
Cl1 Cl 0.000 0.000 0.500 1
```

Summary:
**Magnetization**: 0.0 μB/cell
**Formation energy without anion corrections**: 1.2645 eV/atom
**Final energy**: -45.000 eV/atom
**Relative energy among the computed polymorphs**: 0.6977 eV/atom

***

A plane-wave DFT calculation with SCAN was carried out for a PBEsol-optimized structure of NdGdHg2.

```
data_NdGdHg2
_chemical_formula_sum 'Nd4 Gd4 Hg8'
_symmetry_space_group_name_H-M 'F m -3 m'
_symmetry_Int_Tables_number 225
_symmetry_space_group_name_Hall '-F 4 2 3'
_cell_length_a 7.441
_cell_length_b 7.441
_cell_length_c 7.441
_cell_angle_alpha 90.00
_cell_angle_beta 90.00
_cell_angle_gamma 90.00
loop_
_atom_site_label
_atom_site_type_symbol
_atom_site_fract_x
_atom_site_fract_y
_atom_site_fract_z
_atom_site_occupancy
Nd1 Nd 0.000 0.000 0.000 1
Gd1 Gd 0.000 0.000 0.500 1
Hg1 Hg 0.250 0.250 0.250 1
```

Summary:
**ΔE_f**: -0.671 eV/atom
**Magnetization**: 32.7 μB/cell
**Final energy**: -60.354 eV/atom

***

What is the final energy in the second record?
-45.000 eV/atom

***

Please write out number 1 again, unchanged.
A plane-wave DFT calculation with SCAN was carried out for a PBEsol-optimized structure of LiLa2Mg.

```
data_LiLa2Mg
_chemical_formula_sum 'Li1 La2 Mg1'
_symmetry_space_group_name_H-M 'P 4/m m m'
_symmetry_Int_Tables_number 123
_symmetry_space_group_name_Hall '-P 4 2'
_cell_length_a 3.957
_cell_length_b 3.957
_cell_length_c 7.464
_cell_angle_alpha 90.00
_cell_angle_beta 90.00
_cell_angle_gamma 90.00
loop_
_atom_site_label
_atom_site_type_symbol
_atom_site_fract_x
_atom_site_fract_y
_atom_site_fract_z
_atom_site_occupancy
Li1 Li 0.000 0.000 0.000 1
La1 La 0.500 0.500 0.252 1
Mg1 Mg 0.000 0.000 0.500 1
```

Summary:
**ΔE_f**: -0.015 eV/atom
**Magnetization**: 0.2 μB/cell
**Final energy**: -23.409 eV/atom
**Relative energy among the computed polymorphs**: 0.0000 eV/atom

***

Which formula does entry 3 have?
NdGdHg2

***

Look up the final energy of the second one.
-45.000 eV/atom